No. 1
Below is an optimized crystal structure of CaTlN2, with properties calculated at the PBE-GGA level.

Calculated values
**SG**: No. 166
**Distance to the lowest polymorph of the same formula**: 40.3 meV/atom
**ΔE_f (raw)**: 436 meV per atom
**N(E_F)**: 2.63 states/eV per cell
**V**: 80 Å³/cell

The structure in extended XYZ format:
```
4
Lattice="1.891 1.092 6.433 -1.891 1.092 6.433 0.000 -2.184 6.433" Properties=species:S:1:pos:R:3 pbc="T T T"
Ca 0.000 0.000 0.000
Tl 0.000 0.000 9.649
N 0.000 0.000 7.648
N 0.000 0.000 11.650
```

***

No. 2
Below is an optimized crystal structure of Ca4TlN, with properties calculated at the PBE-GGA level.

Calculated values
**SG**: No. 12
**Distance to the lowest polymorph of the same formula**: 80.8 meV/atom
**ΔE_f (raw)**: -475 meV per atom
**N(E_F)**: 5.33 states/eV per cell
**V**: 357 Å³/cell

The structure in extended XYZ format:
```
12
Lattice="8.193 -3.503 0.000 8.193 3.503 0.000 -0.774 0.000 6.217" Properties=species:S:1:pos:R:3 pbc="T T T"
Ca 5.769 1.848 2.348
Ca 3.044 0.000 0.589
Ca 8.193 1.913 0.000
Ca 9.843 1.848 3.869
Ca 5.769 -1.848 2.348
Ca 8.193 -1.913 0.000
Ca 12.568 0.000 5.628
Ca 9.843 -1.848 3.869
Tl 4.899 0.000 4.979
Tl 10.713 0.000 1.238
N 0.678 0.000 5.168
N 14.934 0.000 1.049
```

***

No. 3
Below is an optimized crystal structure of Ca6Tl2N, with properties calculated at the PBE-GGA level.

Calculated values
**SG**: No. 225
**Distance to the lowest polymorph of the same formula**: 0.0 meV/atom
**ΔE_f (raw)**: -509 meV per atom
**N(E_F)**: 8.64 states/eV per cell
**V**: 258 Å³/cell

The structure in extended XYZ format:
```
9
Lattice="0.000 5.050 5.050 5.050 0.000 5.050 5.050 5.050 0.000" Properties=species:S:1:pos:R:3 pbc="T T T"
Ca 5.050 5.050 2.403
Ca 5.050 2.403 5.050
Ca 7.696 5.050 5.050
Ca 2.403 5.050 5.050
Ca 5.050 7.696 5.050
Ca 5.050 5.050 7.696
Tl 2.525 2.525 2.525
Tl 7.575 7.575 7.575
N 0.000 0.000 0.000
```

***

No. 4
Below is an optimized crystal structure of Ca9Tl3N2, with properties calculated at the PBE-GGA level.

Calculated values
**SG**: No. 164
**ΔE_f (raw)**: -570 meV per atom
**N(E_F)**: 11.18 states/eV per cell
**V**: 381 Å³/cell

The structure in extended XYZ format:
```
14
Lattice="7.100 0.000 0.000 -3.550 6.149 0.000 0.000 0.000 8.722" Properties=species:S:1:pos:R:3 pbc="T T T"
Ca -1.775 3.075 0.000
Ca 0.000 2.157 5.941
Ca -1.682 5.071 5.941
Ca 1.868 1.079 2.781
Ca 3.550 0.000 0.000
Ca 1.775 3.075 0.000
Ca 1.682 5.071 5.941
Ca 5.232 1.079 2.781
Ca 3.550 3.992 2.781
Tl 0.000 0.000 0.000
Tl 0.000 4.099 2.979
Tl 3.550 2.050 5.743
N 0.000 4.099 7.265
N 3.550 2.050 1.457
```

***

No. 5
Below is an optimized crystal structure of Ca10Tl2N3, with properties calculated at the PBE-GGA level.

Calculated values
**SG**: No. 12
**ΔE_f (raw)**: -575 meV per atom
**N(E_F)**: 8.31 states/eV per cell
**V**: 769 Å³/cell

The structure in extended XYZ format:
```
30
Lattice="11.445 -3.606 0.000 11.445 3.606 0.000 -3.748 0.000 9.316" Properties=species:S:1:pos:R:3 pbc="T T T"
Ca 3.849 1.803 4.658
Ca -2.009 0.000 6.421
Ca 7.904 1.914 0.283
Ca 7.122 1.821 4.399
Ca 2.199 0.000 2.312
Ca 11.445 1.982 0.000
Ca 2.465 0.000 7.093
Ca 12.021 1.821 4.917
Ca 11.238 1.914 9.033
Ca 9.824 0.000 3.054
Ca 3.849 -1.803 4.658
Ca 9.318 0.000 6.262
Ca 7.904 -1.914 0.283
Ca 7.122 -1.821 4.399
Ca 16.678 0.000 2.223
Ca 11.445 -1.982 0.000
Ca 16.943 0.000 7.004
Ca 12.021 -1.821 4.917
Ca 11.238 -1.914 9.033
Ca 21.151 0.000 2.895
Tl 5.639 0.000 1.923
Tl 5.953 0.000 7.124
Tl 13.190 0.000 2.192
Tl 13.503 0.000 7.393
N -1.928 0.000 8.970
N 2.147 0.000 4.728
N 9.571 1.796 4.658
N 9.571 -1.796 4.658
N 16.995 0.000 4.588
N 21.071 0.000 0.346
```

***

No. 6
Below is an optimized crystal structure of CaTlN2, with properties calculated at the PBE-GGA level.

Calculated values
**SG**: No. 166
**Distance to the lowest polymorph of the same formula**: 633.2 meV/atom
**ΔE_f (raw)**: 1029 meV per atom
**N(E_F)**: 1.32 states/eV per cell
**V**: 78 Å³/cell

The structure in extended XYZ format:
```
4
Lattice="1.841 1.063 6.643 -1.841 1.063 6.643 0.000 -2.126 6.643" Properties=species:S:1:pos:R:3 pbc="T T T"
Ca 0.000 0.000 0.000
Tl 0.000 0.000 9.965
N 0.000 0.000 2.203
N 0.000 0.000 17.726
```

***

No. 7
Below is an optimized crystal structure of CaTlN2, with properties calculated at the PBE-GGA level.

Calculated values
**SG**: No. 122
**Distance to the lowest polymorph of the same formula**: 0.0 meV/atom
**ΔE_f (raw)**: 395 meV per atom
**N(E_F)**: 4.09 states/eV per cell
**V**: 138 Å³/cell

The structure in extended XYZ format:
```
8
Lattice="-3.005 3.005 3.810 3.005 -3.005 3.810 3.005 3.005 -3.810" Properties=species:S:1:pos:R:3 pbc="T T T"
Ca 0.000 0.000 0.000
Ca 0.000 3.005 1.905
Tl 3.005 0.000 1.905
Tl 0.000 0.000 3.810
N 1.502 -1.392 2.857
N 1.613 1.502 0.952
N 1.502 4.396 -0.952
N 1.392 1.502 4.762
```

***

No. 8
Below is an optimized crystal structure of Ca8TlN4, with properties calculated at the PBE-GGA level.

Calculated values
**SG**: No. 87
**ΔE_f (raw)**: -718 meV per atom
**N(E_F)**: 4.23 states/eV per cell
**V**: 285 Å³/cell

The structure in extended XYZ format:
```
13
Lattice="-6.219 6.219 1.840 6.219 -6.219 1.840 6.219 6.219 -1.840" Properties=species:S:1:pos:R:3 pbc="T T T"
Ca 4.127 0.521 0.000
Ca 4.332 3.794 0.000
Ca 5.698 -2.092 1.840
Ca 2.425 -1.887 1.840
Ca 3.794 8.106 0.000
Ca 0.521 8.312 0.000
Ca 1.887 2.425 1.840
Ca 2.092 5.698 1.840
Tl 0.000 0.000 0.000
N 8.283 1.920 0.000
N 1.920 4.155 0.000
N 4.299 2.064 1.840
N -2.064 4.299 1.840
```

***

No. 9
Below is an optimized crystal structure of CaTl2N, with properties calculated at the PBE-GGA level.

Calculated values
**SG**: No. 122
**Distance to the lowest polymorph of the same formula**: 0.0 meV/atom
**ΔE_f (raw)**: 167 meV per atom
**N(E_F)**: 6.07 states/eV per cell
**V**: 197 Å³/cell

The structure in extended XYZ format:
```
8
Lattice="-4.548 4.548 2.385 4.548 -4.548 2.385 4.548 4.548 -2.385" Properties=species:S:1:pos:R:3 pbc="T T T"
Ca 0.000 0.000 0.000
Ca 0.000 4.548 1.193
Tl 2.274 -1.278 1.789
Tl 3.269 2.274 0.596
Tl 2.274 5.826 -0.596
Tl 1.278 2.274 2.981
N 4.548 0.000 1.193
N 0.000 0.000 2.385
```

***

No. 10
Below is an optimized crystal structure of CaTl2N, with properties calculated at the PBE-GGA level.

Calculated values
**SG**: No. 225
**Distance to the lowest polymorph of the same formula**: 591.1 meV/atom
**ΔE_f (raw)**: 758 meV per atom
**N(E_F)**: 1.97 states/eV per cell
**V**: 92 Å³/cell

The structure in extended XYZ format:
```
4
Lattice="0.000 3.577 3.577 3.577 0.000 3.577 3.577 3.577 0.000" Properties=species:S:1:pos:R:3 pbc="T T T"
Ca 0.000 0.000 0.000
Tl 1.788 1.788 1.788
Tl 5.365 5.365 5.365
N 3.577 3.577 3.577
```

***

No. 11
Below is an optimized crystal structure of CaTlN2, with properties calculated at the PBE-GGA level.

Calculated values
**SG**: No. 225
**Distance to the lowest polymorph of the same formula**: 322.2 meV/atom
**ΔE_f (raw)**: 718 meV per atom
**N(E_F)**: 2.18 states/eV per cell
**V**: 57 Å³/cell

The structure in extended XYZ format:
```
4
Lattice="0.000 3.057 3.057 3.057 0.000 3.057 3.057 3.057 0.000" Properties=species:S:1:pos:R:3 pbc="T T T"
Ca 0.000 0.000 0.000
Tl 3.057 3.057 3.057
N 1.529 1.529 1.529
N 4.586 4.586 4.586
```

***

No. 12
Below is an optimized crystal structure of Ca4Tl2N, with properties calculated at the PBE-GGA level.

Calculated values
**SG**: No. 65
**Distance to the lowest polymorph of the same formula**: 180.3 meV/atom
**ΔE_f (raw)**: -266 meV per atom
**N(E_F)**: 7.18 states/eV per cell
**V**: 233 Å³/cell

The structure in extended XYZ format:
```
7
Lattice="2.678 -12.514 0.000 2.678 12.514 0.000 0.000 0.000 3.475" Properties=species:S:1:pos:R:3 pbc="T T T"
Ca 2.678 11.029 0.000
Ca 2.678 7.441 1.738
Ca 2.678 -7.441 1.738
Ca 2.678 -11.029 0.000
Tl 2.678 4.253 0.000
Tl 2.678 -4.253 0.000
N 0.000 0.000 1.738
```